Entry 1:
Cu3Ag | PBE | optimized geometry

Unit cell a=5.8857 b=5.8857 c=8.8718 alpha=127.38 beta=127.38 gamma=26.37
Closest atoms and distances in Å follow each position.
Fractional positions:
Cu  0.7002  0.7002  0.5685  8 Cu 2.51-2.75, 4 Ag 2.75-2.76
Cu  0.1791  0.1791  0.0591  9 Cu 2.53-2.77, 3 Ag 2.63-2.69
Cu  0.4332  0.4332  0.8182  10 Cu 2.53-2.75, 2 Ag 2.71
Cu  0.5668  0.5668  0.1818  10 Cu 2.53-2.75, 2 Ag 2.71
Cu  0.2998  0.2998  0.4315  8 Cu 2.51-2.75, 4 Ag 2.75-2.76
Cu  0.8209  0.8209  0.9409  9 Cu 2.53-2.77, 3 Ag 2.63-2.69
Ag  0.0636  0.0636  0.6931  9 Cu 2.63-2.76, 3 Ag 2.68-2.76
Ag  0.9364  0.9364  0.3069  9 Cu 2.63-2.76, 3 Ag 2.68-2.76

Results
Final energy (eV per atom): -3.42
Energy relative to the elements (eV/atom): 0.08
Space-group type: C2/m, No. 12

---

Entry 2:
PaNbAs | PBE | optimized geometry

Unit cell a=4.5730 b=4.5730 c=4.5730 alpha=60.00 beta=60.00 gamma=60.00
Closest atoms and distances in Å follow each position.
Fractional positions:
Pa  0.7500  0.7500  0.7500  4 Nb 2.80
Nb  0.0000  0.0000  0.0000  4 As 2.80, 4 Pa 2.80
As  0.2500  0.2500  0.2500  4 Nb 2.80

Results
Final energy (eV per atom): -7.96
ΔE to the lowest computed polymorph (eV/f.u.): 0.000
Space-group type: F-43m, No. 216

---

Entry 3:
NbCo2Ir | PBE | optimized geometry

Unit cell a=4.2870 b=5.3449 c=5.3449 alpha=120.51 beta=90.00 gamma=90.00
Closest atoms and distances in Å follow each position.
Fractional positions:
Nb  0.2500  0.3414  0.6759  8 Co 2.57-2.73, 4 Ir 2.61-2.73
Nb  0.7500  0.6759  0.3414  8 Co 2.57-2.73, 4 Ir 2.61-2.73
Ir  0.2500  0.3224  0.1548  6 Co 2.54-2.76, 4 Nb 2.61-2.73, 2 Ir 2.65
Ir  0.7500  0.1548  0.3224  6 Co 2.54-2.76, 4 Nb 2.61-2.73, 2 Ir 2.65
Co  0.7500  0.6814  0.8373  6 Co 2.53-2.81, 2 Ir 2.54-2.76, 4 Nb 2.64-2.71
Co  0.7500  0.1534  0.8332  4 Co 2.53-2.81, 4 Nb 2.57-2.73, 4 Ir 2.61-2.73
Co  0.2500  0.8332  0.1534  4 Co 2.53-2.81, 4 Nb 2.57-2.73, 4 Ir 2.61-2.73
Co  0.2500  0.8373  0.6814  6 Co 2.53-2.81, 2 Ir 2.54-2.76, 4 Nb 2.64-2.71

Results
Final energy (eV per atom): -8.58
ΔE to the lowest computed polymorph (eV/f.u.): 0.116
Energy relative to the elements (eV/atom): -0.29
Space-group type: Ama2, No. 40

---

Entry 4:
LaNpSn | PBE | optimized geometry

Unit cell a=5.2217 b=5.2217 c=5.2217 alpha=60.00 beta=60.00 gamma=60.00
Closest atoms and distances in Å follow each position.
Fractional positions:
Sn  0.7500  0.7500  0.7500  4 La 3.20
Np  0.2500  0.2500  0.2500  4 La 3.20
La  0.0000  0.0000  0.0000  4 Np 3.20, 4 Sn 3.20

Results
Final energy (eV per atom): -6.76
Space-group type: F-43m, No. 216

---

Entry 5:
Cd2Bi2O5 | PBE | optimized geometry

Unit cell a=8.2014 b=4.1497 c=4.1497 alpha=90.00 beta=90.00 gamma=90.00
Closest atoms and distances in Å follow each position.
Fractional positions:
O  0.8286  0.0000  0.5000  2 Cd 2.14
O  0.1714  0.0000  0.5000  2 Cd 2.14
O  0.1714  0.5000  0.0000  2 Cd 2.14
O  0.5000  0.5000  0.5000  2 Cd 2.18
O  0.8286  0.5000  0.0000  2 Cd 2.14
Cd  0.7659  0.5000  0.5000  5 O 2.14-2.18
Cd  0.2341  0.5000  0.5000  5 O 2.14-2.18
Bi  0.5000  0.0000  0.0000  4 O 2.93
Bi  0.0000  0.0000  0.0000  8 O 2.51

Results
Final energy (eV per atom): -4.46
ΔE to the lowest computed polymorph (eV/f.u.): 1.555
Space-group type: P4/mmm, No. 123

---

Entry 6:
PaTcAg | PBE | optimized geometry

Unit cell a=4.5918 b=4.5918 c=4.5918 alpha=60.00 beta=60.00 gamma=60.00
Closest atoms and distances in Å follow each position.
Fractional positions:
Pa  0.0000  0.0000  0.0000  4 Tc 2.81, 4 Ag 2.81
Tc  0.7500  0.7500  0.7500  4 Pa 2.81
Ag  0.2500  0.2500  0.2500  4 Pa 2.81

Results
Final energy (eV per atom): -6.78
Energy relative to the elements (eV/atom): 0.78
Space-group type: F-43m, No. 216